A geometry-optimized Ba2SmAg3O6 structure. Source: Alexandria, functional GGA-PBE.

Calculated values
- Space-group type: P4/mmm (123)
- Formation energy (no corrections): -1559 meV/atom

abc: 4.1295 4.1295 12.6968
angles: 90.00 90.00 90.00
Fractional coordinates of all 12 atoms:
Ba1 0.5000 0.5000 0.2025
Ba2 0.5000 0.5000 0.7975
Sm1 0.5000 0.5000 0.5000
Ag1 0.0000 0.0000 0.3640
Ag2 0.0000 0.0000 0.6360
Ag3 0.0000 0.0000 0.0000
O1 0.0000 0.5000 0.6148
O2 0.5000 0.0000 0.3852
O3 0.5000 0.0000 0.6148
O4 0.0000 0.0000 0.1619
O5 0.0000 0.5000 0.3852
O6 0.0000 0.0000 0.8381